The following is a DFT calculation (GGA-PBE) of a relaxed Pa2MnFe3B12 crystal.

CIF file:
```
data_Pa2MnFe3B12
_cell_length_a 5.4447
_cell_length_b 5.4447
_cell_length_c 21.9107
_cell_angle_alpha 90.00
_cell_angle_beta 90.00
_cell_angle_gamma 120.00
_space_group_name_H-M_alt 'R -3 m'
_space_group_IT_number 166
_space_group_name_Hall '-R 3 2"'
loop_
_atom_site_label
_atom_site_type_symbol
_atom_site_fract_x
_atom_site_fract_y
_atom_site_fract_z
Pa1 Pa 0.0000 0.0000 0.1390
Mn1 Mn 0.0000 0.0000 0.5000
Fe1 Fe 0.0000 0.5000 0.0000
B1 B 0.0767 0.5384 0.0954
B2 B 0.1068 0.2136 0.7394
```

Values from the calculation:
For the calculated density, the calculation gives 7.21 Mg/m³. The total moment is 0.33 μB/atom. The volume is 563 Å³ per cell. For the energy of formation, the calculation gives -0.016 eV/atom. The calculation puts the total energy at -401.9 eV for the cell shown.


The following is a DFT calculation (GGA-PBE) of a relaxed Mn3Pb5Br16 crystal.

CIF file:
```
data_Mn3Pb5Br16
_cell_length_a 14.8896
_cell_length_b 8.3133
_cell_length_c 13.7725
_cell_angle_alpha 90.00
_cell_angle_beta 91.77
_cell_angle_gamma 90.00
_space_group_name_H-M_alt 'C 1 m 1'
_space_group_IT_number 8
_space_group_name_Hall 'C -2y'
loop_
_atom_site_label
_atom_site_type_symbol
_atom_site_fract_x
_atom_site_fract_y
_atom_site_fract_z
Mn1 Mn 0.0000 0.0000 0.0000
Mn2 Mn 0.4157 0.2484 0.4927
Pb1 Pb 0.1577 0.0000 0.2646
Pb2 Pb 0.1649 0.5000 0.4956
Pb3 Pb 0.2474 0.2513 0.9949
Pb4 Pb 0.4906 0.0000 0.7536
Br1 Br 0.0601 0.2500 0.6132
Br2 Br 0.0760 0.2315 0.1156
Br3 Br 0.1410 0.0000 0.8791
Br4 Br 0.1766 0.5000 0.8485
Br5 Br 0.2664 0.2576 0.3771
Br6 Br 0.3213 0.0000 0.1351
Br7 Br 0.3412 0.0000 0.5976
Br8 Br 0.3473 0.5000 0.5994
Br9 Br 0.3539 0.5000 0.1127
Br10 Br 0.4209 0.2688 0.8870
Br11 Br 0.4830 0.0000 0.3844
Br12 Br 0.4864 0.5000 0.3894
```

Values from the calculation:
The value obtained for the energy relative to the elements, uncorrected is -0.847 eV/atom. For the calculated density, the calculation gives 4.83 Mg/m³. The total moment is 0.62 μB/atom. The volume is 1704 Å³ per cell. The calculation puts the total energy at -186.3 eV for the cell shown.


The following is a DFT calculation (GGA-PBE) of a relaxed Rb2AsF crystal.

CIF file:
```
data_Rb2AsF
_cell_length_a 8.1784
_cell_length_b 8.1784
_cell_length_c 8.9675
_cell_angle_alpha 90.00
_cell_angle_beta 90.00
_cell_angle_gamma 90.00
_space_group_name_H-M_alt 'I -4 2 d'
_space_group_IT_number 122
_space_group_name_Hall 'I -4 2bw'
loop_
_atom_site_label
_atom_site_type_symbol
_atom_site_fract_x
_atom_site_fract_y
_atom_site_fract_z
Rb1 Rb 0.1613 0.2500 0.1250
As1 As 0.0000 0.0000 0.5000
F1 F 0.0000 0.0000 0.0000
```

Values from the calculation:
The value obtained for the energy relative to the elements, uncorrected is -1.074 eV/atom. For the calculated density, the calculation gives 2.93 Mg/m³. The energy above the most stable polymorph in this dataset is 0.0 meV per atom. The total moment is 0.50 μB/atom. The volume is 600 Å³ per cell. The calculation puts the total energy at -51.0 eV for the cell shown.